DFT (PBE) results for a geometry-optimized ZnOsRu2 structure.

Summary:
Calculated total energy ... -7.601 eV/atom
Energy relative to the elements ... 0.163 eV/atom

abc: 2.726 2.726 7.593
angles: 90.00 90.00 90.00
Sites, in units of the cell vectors:
Ru1 0.000 0.000 0.000
Ru2 0.500 0.500 0.246
Os1 0.500 0.500 0.756
Zn1 0.000 0.000 0.498